#w
## OsRu5 (PBE)

Data for a relaxed OsRu5 crystal.

Results
As for the calculated volume: 13.94 Å³/atom. Its density of states at the Fermi level is 4.448 states/eV per cell.

abc: 5.109 5.109 6.404
angles: 103.14 103.14 31.00
Element x y z (fractional)
Os 0.000 0.000 0.000
Ru 0.056 0.056 0.611
Ru 0.334 0.334 0.668
Ru 0.390 0.390 0.278
Ru 0.667 0.667 0.334
Ru 0.722 0.722 0.945

---

#x
## OsRu5 (PBE)

Data for a relaxed OsRu5 crystal.

Results
As for the calculated volume: 14.02 Å³/atom. Its density of states at the Fermi level is 6.567 states/eV per cell.

abc: 2.710 2.710 11.455
angles: 90.00 90.00 90.00
Element x y z (fractional)
Os 0.000 0.000 0.000
Ru 0.000 0.000 0.334
Ru 0.000 0.000 0.666
Ru 0.500 0.500 0.166
Ru 0.500 0.500 0.500
Ru 0.500 0.500 0.834

---

Relative energies, unit meV per atom: #w 0; #x 121

---

#w
## OsRu5 (PBE)

Data for a relaxed OsRu5 crystal.

Results
As for the calculated volume: 14.01 Å³/atom. Its density of states at the Fermi level is 7.246 states/eV per cell.

abc: 6.040 6.040 3.834
angles: 90.00 90.00 143.06
Element x y z (fractional)
Os 0.000 0.000 0.000
Ru 0.166 0.834 0.500
Ru 0.334 0.666 0.000
Ru 0.500 0.500 0.500
Ru 0.666 0.334 0.000
Ru 0.834 0.166 0.500

---

#x
## OsRu5 (PBE)

Data for a relaxed OsRu5 crystal.

Results
As for the calculated volume: 15.53 Å³/atom. Its density of states at the Fermi level is 11.869 states/eV per cell.

abc: 4.964 4.964 4.368
angles: 90.00 90.00 120.00
Element x y z (fractional)
Os 0.000 0.000 0.000
Ru 0.000 0.500 0.500
Ru 0.333 0.667 0.000
Ru 0.500 0.000 0.500
Ru 0.500 0.500 0.500
Ru 0.667 0.333 0.000

---

Relative energies, unit meV per atom: #w 0; #x 841

---

#w
## OsRu5 (PBE)

Data for a relaxed OsRu5 crystal.

Results
As for the calculated volume: 13.94 Å³/atom. Its density of states at the Fermi level is 8.390 states/eV per cell.

abc: 4.318 8.188 4.731
angles: 90.00 90.00 90.00
Element x y z (fractional)
Os 0.250 0.250 0.082
Os 0.750 0.750 0.918
Ru 0.250 0.084 0.581
Ru 0.250 0.416 0.581
Ru 0.250 0.583 0.084
Ru 0.250 0.750 0.584
Ru 0.250 0.917 0.084
Ru 0.750 0.083 0.916
Ru 0.750 0.250 0.416
Ru 0.750 0.417 0.916
Ru 0.750 0.584 0.419
Ru 0.750 0.916 0.419

---

#x
## OsRu5 (PBE)

Data for a relaxed OsRu5 crystal.

Results
As for the calculated volume: 14.75 Å³/atom. Its density of states at the Fermi level is 10.932 states/eV per cell.

abc: 5.002 5.002 5.002
angles: 60.00 60.00 60.00
Element x y z (fractional)
Os 0.000 0.000 0.000
Ru 0.375 0.375 0.375
Ru 0.375 0.375 0.875
Ru 0.375 0.875 0.375
Ru 0.750 0.750 0.750
Ru 0.875 0.375 0.375

---

Relative energies, unit meV per atom: #w 0; #x 684

---

#w
## Os4Ru (PBE)

Data for a relaxed Os4Ru crystal.

Results
As for the calculated volume: 19.06 Å³/atom. Its density of states at the Fermi level is 10.684 states/eV per cell.

abc: 4.568 4.568 4.568
angles: 90.00 90.00 90.00
Element x y z (fractional)
Os 0.000 0.000 0.000
Os 0.000 0.500 0.500
Os 0.500 0.000 0.500
Os 0.500 0.500 0.000
Ru 0.500 0.500 0.500

---

#x
## Os4Ru (PBE)

Data for a relaxed Os4Ru crystal.

Results
As for the calculated volume: 14.26 Å³/atom. Its density of states at the Fermi level is 4.769 states/eV per cell.

abc: 4.716 4.716 4.716
angles: 99.57 99.57 131.88
Element x y z (fractional)
Os 0.098 0.301 0.398
Os 0.301 0.902 0.203
Os 0.699 0.098 0.797
Os 0.902 0.699 0.602
Ru 0.500 0.500 0.000

---

Relative energies, unit meV per atom: #w 2668; #x 0